Entry 1:
## NdZn3Au3 (GGA-PBE)

Data for a relaxed NdZn3Au3 crystal.

Computed properties:
For the density of states at the Fermi level, the calculation gives 6.4 states/eV/f.u. The distance to the lowest polymorph of the same formula is 568 meV per atom. For the formation energy from the elements, the calculation gives 3.8 eV per formula unit. As for the total magnetization: 0.0001 μB per atom. As for the density: 6.9 g cm⁻³.

The structure in POSCAR format:
```
NdZn3Au3
1.0
7.4240 0.0000 4.2862
2.4747 6.9994 4.2862
0.0000 0.0000 8.5725
Au Zn Nd
6 6 2
Direct
0.6614 0.3386 0.3386
0.6614 0.3386 0.6614
0.3386 0.6614 0.6614
0.3386 0.6614 0.3386
0.3386 0.3386 0.6614
0.6614 0.6614 0.3386
0.1462 0.8538 0.1462
0.8538 0.8538 0.1462
0.1462 0.8538 0.8538
0.1462 0.1462 0.8538
0.8538 0.1462 0.1462
0.8538 0.1462 0.8538
0.7500 0.7500 0.7500
0.2500 0.2500 0.2500
```

Entry 2:
## Nd4ZnAu2 (GGA-PBE)

Data for a relaxed Nd4ZnAu2 crystal.

Computed properties:
For the density of states at the Fermi level, the calculation gives 9.9 states/eV/f.u. For the formation energy from the elements, the calculation gives -3.2 eV per formula unit. As for the total magnetization: 0.0760 μB per atom. As for the density: 8.7 g cm⁻³.

The structure in POSCAR format:
```
Nd4ZnAu2
1.0
-4.7509 -0.5380 -2.0639
-1.7032 -4.7116 -1.4212
-5.3674 -2.9118 6.5441
Au Nd Zn
2 4 1
Direct
0.7500 0.7500 0.7501
0.2500 0.2500 0.2499
0.1258 0.1258 0.6226
0.8742 0.8742 0.3774
0.3768 0.3768 0.8697
0.6232 0.6232 0.1303
0.0000 0.0000 0.0000
```

Entry 3:
## NdZn6Au6 (GGA-PBE)

Data for a relaxed NdZn6Au6 crystal.

Computed properties:
For the density of states at the Fermi level, the calculation gives 4.4 states/eV/f.u. For the formation energy from the elements, the calculation gives -4.6 eV per formula unit. As for the total magnetization: 0.0000 μB per atom. As for the density: 12.5 g cm⁻³.

The structure in POSCAR format:
```
NdZn6Au6
1.0
5.2719 0.0000 0.0000
2.6360 6.5817 0.0507
2.6360 0.2082 6.5786
Zn Au Nd
6 6 1
Direct
0.0000 0.5000 0.0000
0.0000 0.0000 0.5000
0.5000 0.2411 0.7589
0.5000 0.7589 0.2411
0.5000 0.0000 0.5000
0.5000 0.5000 0.0000
0.0000 0.6619 0.3381
0.6795 0.8205 0.8205
0.0000 0.3381 0.6619
0.3424 0.6576 0.6576
0.3205 0.1795 0.1795
0.6576 0.3424 0.3424
0.0000 0.0000 0.0000
```

Entry 4:
## Nd2Zn3Au (GGA-PBE)

Data for a relaxed Nd2Zn3Au crystal.

Computed properties:
For the density of states at the Fermi level, the calculation gives 4.4 states/eV/f.u. The distance to the lowest polymorph of the same formula is 0 meV per atom. For the formation energy from the elements, the calculation gives -3.0 eV per formula unit. As for the total magnetization: 0.0000 μB per atom. As for the density: 8.5 g cm⁻³.

The structure in POSCAR format:
```
Nd2Zn3Au
1.0
5.8177 -0.5942 0.0000
-0.8197 5.7902 0.0000
-2.4990 -2.5980 8.0039
Zn Au Nd
6 2 4
Direct
0.3267 0.8372 0.1640
0.1628 0.6733 0.8360
0.8373 0.8373 0.6746
0.1627 0.1627 0.3254
0.6733 0.1628 0.8360
0.8372 0.3267 0.1640
0.3322 0.3322 0.6644
0.6678 0.6678 0.3356
0.2500 0.7500 0.5000
0.2587 0.2587 0.0000
0.7413 0.7413 0.0000
0.7500 0.2500 0.5000
```

Entry 5:
## Nd2Zn3Au (GGA-PBE)

Data for a relaxed Nd2Zn3Au crystal.

Computed properties:
For the density of states at the Fermi level, the calculation gives 5.7 states/eV/f.u. The distance to the lowest polymorph of the same formula is 54 meV per atom. For the formation energy from the elements, the calculation gives -2.6 eV per formula unit. As for the total magnetization: 0.0000 μB per atom. As for the density: 8.1 g cm⁻³.

The structure in POSCAR format:
```
Nd2Zn3Au
1.0
-1.6216 -2.5574 -2.7883
3.6314 -2.3208 0.0168
-3.8860 -2.0272 7.1579
Zn Au Nd
3 1 2
Direct
0.5469 0.5469 0.0938
0.7064 0.7064 0.4128
0.2898 0.7898 0.5796
0.4568 0.9568 0.9135
0.1243 0.1243 0.2487
0.8758 0.3758 0.7516
```

Entry 6:
## Nd3Zn3Au2 (GGA-PBE)

Data for a relaxed Nd3Zn3Au2 crystal.

Computed properties:
For the density of states at the Fermi level, the calculation gives 7.5 states/eV/f.u. For the formation energy from the elements, the calculation gives -4.3 eV per formula unit. As for the total magnetization: 0.0000 μB per atom. As for the density: 9.1 g cm⁻³.

The structure in POSCAR format:
```
Nd3Zn3Au2
1.0
4.6156 0.0000 0.0000
-2.3078 5.3269 0.0000
0.0000 0.0000 15.2012
Zn Nd Au
6 6 4
Direct
0.6070 0.2140 0.4592
0.3930 0.7860 0.5408
0.3930 0.7860 0.9592
0.3439 0.6878 0.2500
0.6070 0.2140 0.0408
0.6561 0.3122 0.7500
0.9008 0.8017 0.3972
0.0992 0.1983 0.6028
0.3696 0.7392 0.7500
0.6304 0.2608 0.2500
0.9008 0.8017 0.1028
0.0992 0.1983 0.8972
0.8041 0.6083 0.8954
0.1959 0.3917 0.3954
0.8041 0.6083 0.6046
0.1959 0.3917 0.1046
```

Entry 7:
## Nd3Zn7Au4 (GGA-PBE)

Data for a relaxed Nd3Zn7Au4 crystal.

Computed properties:
For the density of states at the Fermi level, the calculation gives 6.7 states/eV/f.u. For the formation energy from the elements, the calculation gives -7.2 eV per formula unit. As for the total magnetization: 0.0000 μB per atom. As for the density: 10.0 g cm⁻³.

The structure in POSCAR format:
```
Nd3Zn7Au4
1.0
-2.6780 -0.5144 3.5856
-5.6411 -5.8373 -2.2209
1.7066 -7.7591 2.9914
Nd Zn Au
3 7 4
Direct
0.7034 0.7977 0.7956
0.2966 0.2023 0.2044
0.0000 0.5000 0.5000
0.8632 0.3467 0.9270
0.4995 0.8178 0.1833
0.1368 0.6533 0.0730
0.3327 0.8162 0.5184
0.5005 0.1822 0.8167
0.6673 0.1838 0.4816
0.0000 0.0000 0.0000
0.3442 0.5194 0.7922
0.1274 0.0897 0.6555
0.8726 0.9103 0.3445
0.6558 0.4806 0.2078
```

Entry 8:
## Nd3ZnAu3 (GGA-PBE)

Data for a relaxed Nd3ZnAu3 crystal.

Computed properties:
For the density of states at the Fermi level, the calculation gives 4.3 states/eV/f.u. For the formation energy from the elements, the calculation gives -4.8 eV per formula unit. As for the total magnetization: 0.0000 μB per atom. As for the density: 10.3 g cm⁻³.

The structure in POSCAR format:
```
Nd3ZnAu3
1.0
4.5041 0.0000 -0.9826
-0.1895 3.7402 -0.8688
-0.0974 0.4277 10.3680
Nd Au Zn
3 3 1
Direct
0.3127 0.8127 0.6253
0.0031 0.0031 0.0062
0.6844 0.1844 0.3688
0.8570 0.3570 0.7139
0.1500 0.6500 0.3000
0.5610 0.5610 0.1220
0.4318 0.4318 0.8636
```

Entry 9:
## Nd3Zn4Au (GGA-PBE)

Data for a relaxed Nd3Zn4Au crystal.

Computed properties:
For the density of states at the Fermi level, the calculation gives 6.0 states/eV/f.u. For the formation energy from the elements, the calculation gives -1.6 eV per formula unit. As for the total magnetization: 0.0000 μB per atom. As for the density: 7.5 g cm⁻³.

The structure in POSCAR format:
```
Nd3Zn4Au
1.0
-2.0271 -3.0685 1.1221
4.7223 -3.1044 0.0416
0.0616 5.3472 8.1461
Zn Nd Au
4 3 1
Direct
0.3807 0.6163 0.7613
0.6193 0.3837 0.2387
0.6193 0.8550 0.2387
0.3807 0.1450 0.7613
0.0000 0.5000 0.0000
0.7738 0.7738 0.5477
0.2262 0.2262 0.4523
0.5000 0.0000 0.0000
```

Entry 10:
## Nd3Zn3Au (GGA-PBE)

Data for a relaxed Nd3Zn3Au crystal.

Computed properties:
For the density of states at the Fermi level, the calculation gives 6.0 states/eV/f.u. For the formation energy from the elements, the calculation gives -3.0 eV per formula unit. As for the total magnetization: 0.0000 μB per atom. As for the density: 8.1 g cm⁻³.

The structure in POSCAR format:
```
Nd3Zn3Au
1.0
4.4487 0.0000 -0.9705
-0.1832 3.6145 -0.8397
-0.0474 0.5189 10.4639
Nd Zn Au
3 3 1
Direct
0.9984 0.9984 0.9969
0.3093 0.8093 0.6186
0.6920 0.1920 0.3839
0.1371 0.6371 0.2741
0.8591 0.3591 0.7182
0.5683 0.5683 0.1366
0.4358 0.4358 0.8717
```

Entry 11:
## Nd3ZnAu2 (GGA-PBE)

Data for a relaxed Nd3ZnAu2 crystal.

Computed properties:
For the density of states at the Fermi level, the calculation gives 4.6 states/eV/f.u. For the formation energy from the elements, the calculation gives -3.6 eV per formula unit. As for the total magnetization: 0.0001 μB per atom. As for the density: 9.6 g cm⁻³.

The structure in POSCAR format:
```
Nd3ZnAu2
1.0
-1.9660 3.7753 -3.0417
-0.3851 -5.0070 -1.4666
-11.3581 -0.9364 6.1789
Nd Zn Au
6 2 4
Direct
0.0000 0.0000 0.2487
0.3333 0.6667 0.4199
0.3333 0.6667 0.9191
0.6667 0.3333 0.5801
0.0000 0.0000 0.7513
0.6667 0.3333 0.0809
0.6667 0.3333 0.3291
0.3333 0.6667 0.6709
0.6667 0.3333 0.8187
0.0000 0.0000 0.0000
0.3333 0.6667 0.1813
0.0000 0.0000 0.5000
```

Entry 12:
## NdZnAu (GGA-PBE)

Data for a relaxed NdZnAu crystal.

Computed properties:
For the density of states at the Fermi level, the calculation gives 1.8 states/eV/f.u. For the formation energy from the elements, the calculation gives -1.8 eV per formula unit. As for the total magnetization: 0.0000 μB per atom. As for the density: 9.8 g cm⁻³.

The structure in POSCAR format:
```
NdZnAu
1.0
4.2900 -0.8314 -0.0386
0.8299 4.2903 -0.0386
0.0730 0.0493 7.1789
Au Zn Nd
2 2 2
Direct
0.2500 0.2500 0.2372
0.7500 0.7500 0.7628
0.7501 0.2499 0.0000
0.2499 0.7501 0.0000
0.2501 0.2501 0.6725
0.7499 0.7499 0.3275
```